Compound: DyEr3Ag2
Source: Alexandria
Functional: PBE
Structure: optimized geometry

Results
magnetic moment: 0.00 μB/atom
calculated total energy: -25.2 eV/cell

Unit cell a=3.588 b=3.588 c=12.175 alpha=90.00 beta=90.00 gamma=90.00
Atoms (fractional coordinates):
1 Dy 0.500 0.500 0.500
2 Er 0.000 0.000 0.000
3 Er 0.000 0.000 0.702
4 Er 0.000 0.000 0.298
5 Ag 0.500 0.500 0.851
6 Ag 0.500 0.500 0.149

Compound: Dy2ErAg2
Source: Alexandria
Functional: PBE
Structure: optimized geometry

Results
magnetic moment: 0.00 μB/atom
calculated total energy: -41.3 eV/cell

Unit cell a=3.624 b=5.217 c=13.506 alpha=90.00 beta=97.69 gamma=90.00
Atoms (fractional coordinates):
1 Dy 0.047 0.750 0.095
2 Dy 0.953 0.250 0.905
3 Dy 0.235 0.750 0.469
4 Dy 0.765 0.250 0.531
5 Er 0.854 0.750 0.709
6 Er 0.146 0.250 0.291
7 Ag 0.642 0.750 0.284
8 Ag 0.358 0.250 0.716
9 Ag 0.452 0.750 0.903
10 Ag 0.548 0.250 0.097

Compound: DyEr3Ag2
Source: Alexandria
Functional: PBE
Structure: optimized geometry

Results
magnetic moment: 0.00 μB/atom
calculated total energy: -47.7 eV/cell

Unit cell a=6.997 b=7.339 c=8.593 alpha=115.28 beta=114.02 gamma=90.00
Atoms (fractional coordinates):
1 Dy 0.000 0.500 0.000
2 Dy 0.000 0.000 0.000
3 Er 0.500 0.250 0.000
4 Er 0.500 0.750 0.000
5 Er 0.771 0.021 0.543
6 Er 0.229 0.479 0.457
7 Er 0.229 0.979 0.457
8 Er 0.771 0.521 0.543
9 Ag 0.558 0.358 0.715
10 Ag 0.843 0.142 0.285
11 Ag 0.157 0.858 0.715
12 Ag 0.442 0.642 0.285

Compound: Dy2ErAg4
Source: Alexandria
Functional: PBE
Structure: optimized geometry

Results
magnetic moment: 0.00 μB/atom
calculated total energy: -26.0 eV/cell

Unit cell a=5.248 b=5.248 c=7.386 alpha=110.81 beta=110.81 gamma=90.00
Atoms (fractional coordinates):
1 Er 0.000 0.000 0.000
2 Ag 0.381 0.881 0.763
3 Ag 0.881 0.381 0.763
4 Ag 0.619 0.119 0.237
5 Ag 0.119 0.619 0.237
6 Dy 0.726 0.726 0.453
7 Dy 0.274 0.274 0.547

Compound: DyEr3Ag3
Source: Alexandria
Functional: PBE
Structure: optimized geometry

Results
magnetic moment: 0.00 μB/atom
calculated total energy: -55.8 eV/cell

Unit cell a=7.242 b=7.242 c=6.950 alpha=90.62 beta=90.62 gamma=94.30
Atoms (fractional coordinates):
1 Dy 0.744 0.744 0.849
2 Dy 0.256 0.256 0.151
3 Er 0.621 0.621 0.338
4 Er 0.184 0.816 0.500
5 Er 0.816 0.184 0.500
6 Er 0.260 0.740 0.000
7 Er 0.740 0.260 0.000
8 Er 0.379 0.379 0.662
9 Ag 0.927 0.927 0.189
10 Ag 0.004 0.481 0.730
11 Ag 0.481 0.004 0.730
12 Ag 0.996 0.519 0.270
13 Ag 0.519 0.996 0.270
14 Ag 0.073 0.073 0.811

Compound: Dy6Er2Ag
Source: Alexandria
Functional: PBE
Structure: optimized geometry

Results
magnetic moment: 0.00 μB/atom
calculated total energy: -39.1 eV/cell

Unit cell a=3.532 b=10.139 c=9.279 alpha=123.11 beta=101.00 gamma=90.00
Atoms (fractional coordinates):
1 Dy 0.182 0.340 0.364
2 Dy 0.818 0.976 0.636
3 Dy 0.818 0.660 0.636
4 Dy 0.500 0.269 0.000
5 Dy 0.182 0.024 0.364
6 Dy 0.500 0.731 0.000
7 Er 0.140 0.639 0.279
8 Er 0.860 0.361 0.721
9 Ag 0.000 0.000 0.000

Compound: Dy4Er3Ag4
Source: Alexandria
Functional: PBE
Structure: optimized geometry

Results
magnetic moment: 0.00 μB/atom
calculated total energy: -44.9 eV/cell

Unit cell a=3.621 b=9.354 c=10.039 alpha=117.77 beta=100.39 gamma=90.00
Atoms (fractional coordinates):
1 Dy 0.339 0.152 0.677
2 Dy 0.661 0.474 0.323
3 Dy 0.661 0.848 0.323
4 Dy 0.339 0.526 0.677
5 Er 0.101 0.101 0.203
6 Er 0.899 0.899 0.797
7 Er 0.000 0.500 0.000
8 Ag 0.258 0.758 0.515
9 Ag 0.742 0.242 0.485
10 Ag 0.500 0.806 0.000
11 Ag 0.500 0.194 0.000

Compound: Dy4Er5Ag
Source: Alexandria
Functional: PBE
Structure: optimized geometry

Results
magnetic moment: 0.00 μB/atom
calculated total energy: -44.5 eV/cell

Unit cell a=3.520 b=3.520 c=23.851 alpha=90.00 beta=90.00 gamma=90.00
Atoms (fractional coordinates):
1 Dy 0.000 0.000 0.186
2 Dy 0.000 0.000 0.395
3 Dy 0.000 0.000 0.605
4 Dy 0.000 0.000 0.814
5 Er 0.500 0.500 0.080
6 Er 0.500 0.500 0.290
7 Er 0.500 0.500 0.500
8 Er 0.500 0.500 0.710
9 Er 0.500 0.500 0.920
10 Ag 0.000 0.000 0.000

Repeat the seventh record exactly.
Compound: Dy4Er3Ag4
Source: Alexandria
Functional: PBE
Structure: optimized geometry

Results
magnetic moment: 0.00 μB/atom
calculated total energy: -44.9 eV/cell

Unit cell a=3.621 b=9.354 c=10.039 alpha=117.77 beta=100.39 gamma=90.00
Atoms (fractional coordinates):
1 Dy 0.339 0.152 0.677
2 Dy 0.661 0.474 0.323
3 Dy 0.661 0.848 0.323
4 Dy 0.339 0.526 0.677
5 Er 0.101 0.101 0.203
6 Er 0.899 0.899 0.797
7 Er 0.000 0.500 0.000
8 Ag 0.258 0.758 0.515
9 Ag 0.742 0.242 0.485
10 Ag 0.500 0.806 0.000
11 Ag 0.500 0.194 0.000

Q: calculated total energy of number 8 (Dy4Er5Ag)?
A: -44.5 eV/cell